Record 1
Here is a geometry-optimized BeHgTe2 structure from Alexandria. Energies are from GGA-PBE.

POSCAR file:
```
BeHgTe2
1.0
8.9817 0.0000 1.0858
2.1500 2.1964 -2.4587
-2.1500 2.1964 2.4587
Te Hg Be
2 1 1
Cartesian
4.0723 2.1964 3.0579 Te
4.9093 2.1964 -1.9721 Te
0.0000 0.0000 0.0000 Hg
4.4908 2.1964 0.5429 Be
```

Properties
Space group   C2/m (12)
Energy above the most stable polymorph in this dataset   0.301 eV/atom
ρ   7.20 g cm⁻³



Record 2
Here is a geometry-optimized BeHgTe2 structure from Alexandria. Energies are from GGA-PBE.

POSCAR file:
```
BeHgTe2
1.0
26.3988 0.0000 -0.8210
0.0000 4.1105 0.0000
-9.8747 0.0000 4.8484
Be Hg Te
4 4 8
Cartesian
9.8743 3.9552 3.5290 Be
6.6497 0.1553 0.4983 Be
1.6123 2.2106 1.5153 Be
14.9117 1.8999 2.5120 Be
11.5607 3.7572 1.8842 Hg
4.9633 0.3533 2.1432 Hg
-6.5760 2.4086 4.7189 Hg
23.1001 1.7019 -0.6916 Hg
16.3379 3.9956 2.6257 Te
2.4682 1.2751 3.5870 Te
20.6049 0.7802 0.7523 Te
14.0559 2.8354 0.4403 Te
8.0759 2.1701 0.6121 Te
-4.0808 3.3303 3.2750 Te
8.4481 1.9404 3.4153 Te
0.1861 0.1149 1.4016 Te
```

Properties
Space group   P2_1/c (14)
Energy above the most stable polymorph in this dataset   0.230 eV/atom
ρ   6.27 g cm⁻³



Record 3
Here is a geometry-optimized BeHgTe2 structure from Alexandria. Energies are from GGA-PBE.

POSCAR file:
```
BeHgTe2
1.0
-0.5930 -2.6812 -1.5810
2.8052 -1.1578 0.9113
-4.3028 -3.9208 8.2633
Te Hg Be
2 1 1
Cartesian
-0.3691 -3.2637 2.4983 Te
-4.2475 -3.8704 8.1571 Te
-1.8099 -4.5766 5.2652 Hg
-2.1183 -1.9302 4.0680 Be
```

Properties
Space group   P4mm (99)
Energy above the most stable polymorph in this dataset   0.630 eV/atom
ρ   7.61 g cm⁻³



Record 4
Here is a geometry-optimized BeHgTe2 structure from Alexandria. Energies are from GGA-PBE.

POSCAR file:
```
BeHgTe2
1.0
-0.1381 1.9317 -2.8943
-3.3919 -0.7213 -0.3196
-1.8276 6.6030 4.4941
Hg Te Be
1 2 1
Cartesian
-3.1357 5.5574 1.7636 Hg
-0.1303 0.4709 0.3205 Te
-0.7835 2.8306 1.9265 Te
-2.2219 2.2559 -0.4834 Be
```

Properties
Space group   P4/mmm (123)
Energy above the most stable polymorph in this dataset   0.603 eV/atom
ρ   7.77 g cm⁻³



Record 5
Here is a geometry-optimized BeHgTe2 structure from Alexandria. Energies are from GGA-PBE.

POSCAR file:
```
BeHgTe2
1.0
7.1796 0.0000 1.8196
1.3520 1.8726 -3.5097
-1.3520 1.8726 3.5097
Te Be Hg
2 1 1
Cartesian
0.8612 1.8726 1.5859 Te
6.3184 1.8726 0.2337 Te
0.0000 0.0000 0.0000 Be
3.5898 1.8726 0.9098 Hg
```

Properties
Space group   C2/m (12)
Energy above the most stable polymorph in this dataset   0.280 eV/atom
ρ   7.45 g cm⁻³



Record 6
Here is a geometry-optimized BeHgTe2 structure from Alexandria. Energies are from GGA-PBE.

POSCAR file:
```
BeHgTe2
1.0
-5.9222 -1.3501 4.6504
-3.1707 -4.6528 5.1788
-2.4470 -0.8879 7.1934
Be Te Hg
1 2 1
Cartesian
-0.0005 -0.0003 0.0008 Be
-1.2897 -0.7701 1.9024 Te
-7.3204 -4.3712 10.7985 Te
-5.8257 -3.4787 8.5936 Hg
```

Properties
Space group   R3m (160)
Energy above the most stable polymorph in this dataset   0.077 eV/atom
ρ   6.57 g cm⁻³



Record 7
Here is a geometry-optimized BeHgTe structure from Alexandria. Energies are from GGA-PBE.

POSCAR file:
```
BeHgTe
1.0
-5.2999 4.8004 1.6114
-6.5880 1.9444 -0.3073
-0.6641 0.1326 3.6110
Be Te Hg
1 1 1
Cartesian
-0.8076 0.2172 3.5815 Be
-7.6381 4.2412 2.1776 Te
-4.7703 2.5517 2.7670 Hg
```

Properties
Space group   Fmm2 (42)
Energy above the most stable polymorph in this dataset   0.380 eV/atom
ρ   7.14 g cm⁻³



Record 8
Here is a geometry-optimized BeHgTe2 structure from Alexandria. Energies are from GGA-PBE.

POSCAR file:
```
BeHgTe2
1.0
-0.6525 -2.2555 -2.2769
-0.1810 -1.3377 2.9792
-9.7042 2.3414 0.4617
Te Be Hg
2 1 1
Cartesian
-9.4614 2.2828 0.4502 Te
-3.7005 -1.0043 0.5074 Te
-4.8303 1.1654 0.2298 Be
-7.1019 -0.1836 0.6692 Hg
```

Properties
Space group   Cmm2 (35)
Energy above the most stable polymorph in this dataset   0.562 eV/atom
ρ   7.68 g cm⁻³



Record 9
Here is a geometry-optimized BeHgTe2 structure from Alexandria. Energies are from GGA-PBE.

POSCAR file:
```
BeHgTe2
1.0
7.1591 -0.0003 -0.0002
0.0001 4.2708 -0.0001
-0.0003 0.0000 7.5871
Be Hg Te
2 2 4
Cartesian
0.4970 1.0255 5.6839 Be
4.0771 1.0245 0.4443 Be
0.4277 3.1607 1.7729 Hg
4.0068 3.1643 4.3561 Hg
1.1648 3.1614 4.5371 Te
4.7448 3.1608 1.5920 Te
5.1835 1.0278 5.8516 Te
1.6042 1.0253 0.2772 Te
```

Properties
Space group   Pmc2_1 (26)
Energy above the most stable polymorph in this dataset   0.022 eV/atom
ρ   6.65 g cm⁻³



Record 10
Here is a geometry-optimized BeHgTe2 structure from Alexandria. Energies are from GGA-PBE.

POSCAR file:
```
BeHgTe2
1.0
7.5481 0.0000 -0.2403
2.7522 4.4750 -3.1953
-2.7522 4.4750 3.1953
Te Be Hg
4 2 2
Cartesian
2.4396 5.7224 0.0461 Te
1.3345 1.2474 -0.1663 Te
6.2137 7.7027 -0.0740 Te
5.1085 3.2277 -0.2865 Te
3.2631 4.1610 -1.6578 Be
4.2850 4.7890 1.4174 Be
7.0372 5.0799 -1.7779 Hg
0.5109 3.8702 1.5376 Hg
```

Properties
Space group   C2/c (15)
Energy above the most stable polymorph in this dataset   0.223 eV/atom
ρ   7.35 g cm⁻³



Record 11
Here is a geometry-optimized BeHgTe2 structure from Alexandria. Energies are from GGA-PBE.

POSCAR file:
```
BeHgTe2
1.0
-6.0954 -1.7206 -0.6662
-4.0790 -4.8772 -0.3648
-1.6347 -0.4835 5.8723
Be Hg Te
1 1 2
Cartesian
-4.5252 -2.7330 1.6509 Be
-2.6830 -1.4872 2.3740 Hg
-10.6256 -6.5387 2.6056 Te
-10.0544 -6.4609 -0.3997 Te
```

Properties
Space group   Cm (8)
Energy above the most stable polymorph in this dataset   0.261 eV/atom
ρ   5.62 g cm⁻³



Record 12
Here is a geometry-optimized BeHgTe2 structure from Alexandria. Energies are from GGA-PBE.

POSCAR file:
```
BeHgTe2
1.0
-10.4119 -10.4593 1.1390
-0.7873 -2.5011 -7.9712
7.0010 -4.3952 1.4438
Be Te Hg
8 16 8
Cartesian
0.6623 -7.5160 -1.4317 Be
0.7957 -3.7769 -0.6528 Be
0.5072 -8.6765 -5.6151 Be
-4.9939 -13.5786 -4.7356 Be
-4.8605 -9.8396 -3.9567 Be
-4.7054 -8.6791 0.2267 Be
4.3270 -5.6539 0.0896 Be
-8.5252 -11.7017 -5.4780 Be
-0.2168 -1.5332 -1.1712 Te
-7.4030 -9.9824 -3.9713 Te
3.2048 -7.3732 -1.4171 Te
-0.4207 -5.4425 -1.9971 Te
-3.9814 -15.8224 -4.2172 Te
-0.5833 -6.5438 -6.2360 Te
-7.1476 -8.9840 0.1702 Te
-7.4357 -13.4902 -4.1218 Te
-0.2541 -8.9516 -3.2333 Te
0.7624 -8.2065 0.9637 Te
-3.7775 -11.9131 -3.3913 Te
-3.6149 -10.8118 0.8476 Te
3.2375 -3.8654 -1.2666 Te
-4.9606 -9.1491 -6.3521 Te
2.9494 -8.3715 -5.5586 Te
-3.9441 -8.4040 -2.1551 Te
-0.3574 -11.6155 -2.8084 Hg
-6.4245 -11.7053 0.3018 Hg
-1.8593 -5.7645 0.4054 Hg
-2.3389 -11.5911 -5.7938 Hg
4.8839 -6.4251 -3.4151 Hg
2.2263 -5.6503 -5.6902 Hg
-3.8408 -5.7401 -2.5800 Hg
-9.0821 -10.9304 -1.9733 Hg
```

Properties
Space group   C2/c (15)
Energy above the most stable polymorph in this dataset   0.135 eV/atom
ρ   6.19 g cm⁻³



Record 13
Here is a geometry-optimized BeHgTe2 structure from Alexandria. Energies are from GGA-PBE.

POSCAR file:
```
BeHgTe2
1.0
-0.2378 -2.9910 2.8505
2.2208 -0.1343 -3.4897
6.6163 3.3632 4.0810
Te Hg Be
2 1 1
Cartesian
0.4102 0.2085 0.2530 Te
2.8980 1.4731 1.7875 Te
5.9537 0.9597 2.7412 Hg
2.6456 -0.7219 0.7006 Be
```

Properties
Space group   Cmmm (65)
Energy above the most stable polymorph in this dataset   0.404 eV/atom
ρ   6.58 g cm⁻³



Record 14
Here is a geometry-optimized BeHgTe2 structure from Alexandria. Energies are from GGA-PBE.

POSCAR file:
```
BeHgTe2
1.0
-3.5933 1.1443 0.0563
-1.3681 -4.1732 -2.4949
-0.6946 -2.3974 4.3911
Hg Be Te
1 1 2
Cartesian
-2.1440 -0.6266 2.2237 Hg
-2.4807 -1.5144 -1.2193 Be
0.0000 0.0000 0.0000 Te
-1.0313 -3.2853 0.9481 Te
```

Properties
Space group   P4/mmm (123)
Energy above the most stable polymorph in this dataset   0.862 eV/atom
ρ   8.02 g cm⁻³



Record 15
Here is a geometry-optimized BeHg4Te structure from Alexandria. Energies are from GGA-PBE.

POSCAR file:
```
BeHg4Te
1.0
3.4759 -4.6611 1.7959
-2.3471 -5.6065 0.3020
1.7181 -4.2382 -4.0147
Te Hg Be
1 4 1
Cartesian
2.1352 -10.8793 -1.4376 Te
1.9271 -7.5590 -2.7279 Hg
2.8069 -7.7707 0.1803 Hg
-0.1075 -8.2438 -0.5674 Hg
1.0672 -5.4379 -0.7186 Hg
0.0000 0.0000 0.0000 Be
```

Properties
Space group   F-43m (216)
ρ   9.78 g cm⁻³



Record 16
Here is a geometry-optimized BeHgTe structure from Alexandria. Energies are from GGA-PBE.

POSCAR file:
```
BeHgTe
1.0
4.6013 0.0000 0.0000
2.3007 3.9849 0.0000
2.3007 1.3283 3.7570
Hg Be Te
1 1 1
Cartesian
0.0000 0.0000 0.0000 Hg
6.9020 3.9849 2.8177 Be
4.6013 2.6566 1.8785 Te
```

Properties
Space group   F-43m (216)
Energy above the most stable polymorph in this dataset   0.347 eV/atom
ρ   8.13 g cm⁻³



Record 17
Here is a geometry-optimized BeHgTe2 structure from Alexandria. Energies are from GGA-PBE.

POSCAR file:
```
BeHgTe2
1.0
3.7828 -3.0292 -1.6862
2.6213 -2.9151 3.3105
-0.6111 -5.0946 -0.0257
Be Te Hg
1 2 1
Cartesian
0.0000 0.0000 0.0000 Be
1.4483 -2.7597 0.3996 Te
4.3448 -8.2792 1.1989 Te
2.8965 -5.5195 0.7993 Hg
```

Properties
Space group   Fm-3m (225)
Energy above the most stable polymorph in this dataset   0.849 eV/atom
ρ   8.08 g cm⁻³



Record 18
Here is a geometry-optimized Be3HgTe structure from Alexandria. Energies are from GGA-PBE.

POSCAR file:
```
Be3HgTe
1.0
4.5635 0.0000 0.0000
0.0000 4.5635 0.0000
0.0000 0.0000 4.5635
Te Be Hg
1 3 1
Cartesian
2.2818 2.2818 2.2818 Te
2.2818 0.0000 0.0000 Be
0.0000 0.0000 2.2818 Be
0.0000 2.2818 0.0000 Be
0.0000 0.0000 0.0000 Hg
```

Properties
Space group   Pm-3m (221)
Energy above the most stable polymorph in this dataset   0.000 eV/atom
ρ   6.21 g cm⁻³



Record 19
Here is a geometry-optimized Be2TlHgTe structure from Alexandria. Energies are from GGA-PBE.

POSCAR file:
```
Be2TlHgTe
1.0
-2.7003 -0.3221 -3.6731
-0.4415 -6.1408 0.8631
-3.6728 0.6358 2.6444
Hg Be Tl Te
1 2 1 1
Cartesian
0.0000 0.0000 0.0000 Hg
-1.3501 -0.1611 -1.8365 Be
-1.8364 0.3179 1.3222 Be
-0.2208 -3.0704 0.4316 Tl
-3.4073 -2.9136 -0.0828 Te
```

Properties
Space group   P4/mmm (123)
ρ   7.04 g cm⁻³



Record 20
Here is a geometry-optimized BeTl2HgTe structure from Alexandria. Energies are from GGA-PBE.

POSCAR file:
```
BeTl2HgTe
1.0
-1.5634 -4.6054 -2.0394
0.4558 -2.0719 4.3294
-5.0120 1.2111 1.1073
Tl Hg Te Be
2 1 1 1
Cartesian
-2.5060 0.6056 0.5536 Tl
-0.7817 -2.3027 -1.0197 Tl
0.2279 -1.0360 2.1647 Hg
-3.0598 -2.7331 1.6987 Te
0.0000 0.0000 0.0000 Be
```

Properties
Space group   P4/mmm (123)
ρ   9.24 g cm⁻³



| no. | formation energy (no corrections) (eV per formula unit) |
| --- | --- |
| 1 | 0.246 |
| 2 | -0.039 |
| 3 | 1.562 |
| 4 | 1.451 |
| 5 | 0.161 |
| 6 | -0.651 |
| 7 | 0.977 |
| 8 | 1.290 |
| 9 | -0.873 |
| 10 | -0.069 |
| 11 | 0.084 |
| 12 | -0.421 |
| 13 | 0.655 |
| 14 | 2.488 |
| 15 | 3.842 |
| 16 | 0.878 |
| 17 | 2.435 |
| 18 | 4.374 |
| 19 | 3.438 |
| 20 | 0.710 |